w:
Entry from Alexandria: a relaxed PmPuTeSe crystal (PBE).

Computed properties:
As for the density of states at the Fermi level: 2.439 states/eV per atom. The total magnetization comes out at 5.88 μB/f.u.

Cell: 7.5682 7.5682 7.5682 Å, 32.79 32.79 32.79°
Last column: nearest neighbours and their distance in Å.
Positions (direct):
Pm (0.0000, 0.0000, 0.0000)  3 Se 2.97, 3 Te 3.16
Pu (0.5156, 0.5156, 0.5156)  3 Se 2.93, 3 Te 3.13
Te (0.7588, 0.7588, 0.7588)  3 Pu 3.13, 3 Pm 3.16
Se (0.2561, 0.2561, 0.2561)  3 Pu 2.93, 3 Pm 2.97


x:
Entry from Alexandria: a relaxed PmPuTeSe crystal (PBE).

Computed properties:
As for the density of states at the Fermi level: 1.246 states/eV per atom. The total magnetization comes out at 6.84 μB/f.u.

Cell: 5.2959 5.2959 5.2959 Å, 60.00 60.00 60.00°
Last column: nearest neighbours and their distance in Å.
Positions (direct):
Pm (0.0000, 0.0000, 0.0000)  4 Se 3.24, 4 Te 3.24
Pu (0.5000, 0.5000, 0.5000)  4 Se 3.24, 4 Te 3.24
Te (0.2500, 0.2500, 0.2500)  4 Pm 3.24, 4 Pu 3.24
Se (0.7500, 0.7500, 0.7500)  4 Pu 3.24, 4 Pm 3.24


How far above the most stable structure does each one sit? In meV per atom: w 0; x 238.


w:
Entry from Alexandria: a relaxed PmPuSi crystal (PBE).

Computed properties:
As for the density of states at the Fermi level: 2.112 states/eV per atom. The total magnetization comes out at 5.97 μB/f.u.

Cell: 4.8017 4.8017 3.7089 Å, 90.00 90.00 120.00°
Last column: nearest neighbours and their distance in Å.
Positions (direct):
Pm (0.0000, 0.0000, 0.0000)  3 Si 3.02, 3 Pu 3.18
Pu (0.6667, 0.3333, 0.4173)  3 Si 2.93, 3 Pm 3.18
Si (0.3333, 0.6667, 0.6772)  3 Pu 2.93, 3 Pm 3.02


x:
Entry from Alexandria: a relaxed PmPuSi crystal (PBE).

Computed properties:
As for the density of states at the Fermi level: 1.403 states/eV per atom. The total magnetization comes out at 0.00 μB/f.u.

Cell: 10.7038 10.7038 3.6740 Å, 90.00 90.00 161.86°
Last column: nearest neighbours and their distance in Å.
Positions (direct):
Pm (0.1036, 0.8964, 0.7500)  4 Si 2.92
Pm (0.8964, 0.1036, 0.2500)  4 Si 2.92
Pu (0.2570, 0.7430, 0.2500)  4 Pu 2.51
Pu (0.7430, 0.2570, 0.7500)  4 Pu 2.51
Si (0.4682, 0.5318, 0.7500)  2 Si 2.28
Si (0.5318, 0.4682, 0.2500)  2 Si 2.28


How far above the most stable structure does each one sit? In meV per atom: w 0; x 254.